The following is a GGA-PBE calculation of a geometry-optimized Ba3MnCd structure, from Alexandria via LeMat-Bulk.

Values from the calculation:
The value obtained for the final energy is -13.3 eV/cell. The value obtained for the volume is 198.1 Å³/cell.

CIF file:
```
data_Ba3MnCd
_cell_length_a 5.829
_cell_length_b 5.829
_cell_length_c 5.829
_cell_angle_alpha 90.00
_cell_angle_beta 90.00
_cell_angle_gamma 90.00
_symmetry_space_group_name_H-M 'P m -3 m'
_symmetry_Int_Tables_number 221
_symmetry_space_group_name_Hall '-P 4 2 3'
loop_
_atom_site_label
_atom_site_type_symbol
_atom_site_fract_x
_atom_site_fract_y
_atom_site_fract_z
Ba1 Ba 0.000 0.000 0.500
Mn1 Mn 0.000 0.000 0.000
Cd1 Cd 0.500 0.500 0.500
```

The following is a GGA-PBE calculation of a geometry-optimized NbPbI2N structure, from Alexandria via LeMat-Bulk.

Values from the calculation:
The value obtained for the energy above the lowest structure with this stoichiometry is 1333 meV/atom. The value obtained for the volume is 155.8 Å³/cell.

CIF file:
```
data_NbPbI2N
_cell_length_a 5.987
_cell_length_b 5.987
_cell_length_c 4.346
_cell_angle_alpha 90.00
_cell_angle_beta 90.00
_cell_angle_gamma 90.00
_symmetry_space_group_name_H-M 'P 4/m m m'
_symmetry_Int_Tables_number 123
_symmetry_space_group_name_Hall '-P 4 2'
loop_
_atom_site_label
_atom_site_type_symbol
_atom_site_fract_x
_atom_site_fract_y
_atom_site_fract_z
Nb1 Nb 0.000 0.000 0.000
Pb1 Pb 0.500 0.500 0.500
I1 I 0.000 0.500 0.500
N1 N 0.500 0.500 0.000
```

What did the second record say?
The following is a GGA-PBE calculation of a geometry-optimized NbPbI2N structure, from Alexandria via LeMat-Bulk.

Values from the calculation:
The value obtained for the energy above the lowest structure with this stoichiometry is 1333 meV/atom. The value obtained for the volume is 155.8 Å³/cell.

CIF file:
```
data_NbPbI2N
_cell_length_a 5.987
_cell_length_b 5.987
_cell_length_c 4.346
_cell_angle_alpha 90.00
_cell_angle_beta 90.00
_cell_angle_gamma 90.00
_symmetry_space_group_name_H-M 'P 4/m m m'
_symmetry_Int_Tables_number 123
_symmetry_space_group_name_Hall '-P 4 2'
loop_
_atom_site_label
_atom_site_type_symbol
_atom_site_fract_x
_atom_site_fract_y
_atom_site_fract_z
Nb1 Nb 0.000 0.000 0.000
Pb1 Pb 0.500 0.500 0.500
I1 I 0.000 0.500 0.500
N1 N 0.500 0.500 0.000
```

Question: The highest volume belongs to which entry?
Answer: Ba3MnCd